Material: Sr2AgSb2
Method: DFT, PBE
State: optimized geometry

Cell and atoms, written as extended XYZ:
```
10
Lattice="7.964 0.000 0.000 0.000 7.964 0.000 0.000 0.000 4.896" Properties=species:S:1:pos:R:3 pbc="T T T"
Sr 1.383 2.599 0.000
Sr 2.599 6.581 0.000
Sr 5.365 1.383 0.000
Sr 6.581 5.365 0.000
Ag 0.000 0.000 2.448
Ag 3.982 3.982 2.448
Sb 1.059 5.041 2.448
Sb 2.923 1.059 2.448
Sb 5.041 6.905 2.448
Sb 6.905 2.923 2.448
```

SG ... P4/mbm (127)
Total magnetization ... 0.0 Bohr magnetons per cell
Final energy ... -35.302 eV/cell
Fermi-level density of states ... 0.6789 states/eV/atom